No. 1
A relaxed structure of ZrHgAsO, computed with GGA-PBE.

POSCAR file:
```
ZrHgAsO
1.0
5.4553 0.0000 0.0000
0.0000 5.4553 0.0000
0.0000 0.0000 4.8821
Zr Hg As O
2 2 2 2
Direct
0.2500 0.7500 0.0000
0.7500 0.2500 0.0000
0.2500 0.2500 0.3797
0.7500 0.7500 0.6202
0.2500 0.2500 0.8750
0.7500 0.7500 0.1250
0.2500 0.7500 0.5000
0.7500 0.2500 0.5000
```

The crystal system is tetragonal. For the energy above the most stable polymorph in this dataset, the calculation gives 0.5230 eV/atom. The calculation puts the magnetic moment at 0.0 μB per cell.

=====

No. 2
A relaxed structure of Hg2AsOs, computed with GGA-PBE.

POSCAR file:
```
Hg2AsOs
1.0
0.0000 3.3529 3.3529
3.3529 0.0000 3.3529
3.3529 3.3529 0.0000
Hg As Os
2 1 1
Direct
0.0000 0.0000 0.0000
0.2500 0.2500 0.2500
0.5000 0.5000 0.5000
0.7500 0.7500 0.7500
```

The crystal system is cubic. The calculation puts the magnetic moment at 0.1 μB per cell. As for the total DFT energy (no corrections): -3.183 eV/atom.

=====

No. 3
A relaxed structure of Sn2Hg2AsP3, computed with GGA-PBE.

POSCAR file:
```
Sn2Hg2AsP3
1.0
6.6438 -3.0228 0.0000
6.6438 3.0228 0.0000
-2.7431 0.0000 5.4015
Sn Hg As P
2 2 1 3
Direct
0.1267 0.1267 0.3820
0.8733 0.8733 0.6180
0.3847 0.3583 0.1293
0.6417 0.6153 0.8707
0.2530 0.7470 0.0000
0.0043 0.4956 0.2572
0.5044 0.9957 0.7428
0.7596 0.2404 0.5000
```

The crystal system is monoclinic. As for the total DFT energy (no corrections): -3.656 eV/atom.

=====

> What is the formula in the second record?

Hg2AsOs